A relaxed structure of NaLiHgO2. Source: the Alexandria database, functional PBE-GGA.

Results
Size of the total moment ... 0.00 μB per cell
E_tot ... -3.6910 eV per atom
Formation energy without anion corrections ... -1.001 eV per atom

Lattice parameters (Å, degrees): 5.8507 11.3641 5.3992 90.00 90.00 90.00
Space group Cmme (No. 67)
One atom of each set of equivalent atoms:
Na (0.0000, 0.2500, 0.0611) [4 per cell]
Li (0.2500, 0.0000, 0.0000) [4 per cell]
Hg (0.0000, 0.0000, 0.5000) [4 per cell]
O (0.0000, 0.0926, 0.8197) [8 per cell]

---

A relaxed structure of NaLiHgP2. Source: the Alexandria database, functional PBE-GGA.

Results
Energy relative to the elements ... 1.230 eV per formula unit
Size of the total moment ... 0.00 μB per cell
E_tot ... -2.6248 eV per atom

Lattice parameters (Å, degrees): 4.5233 4.5233 5.0652 90.00 90.00 90.00
Space group P4/mmm (No. 123)
One atom of each set of equivalent atoms:
Na (0.0000, 0.0000, 0.0000) [1 per cell]
Li (0.5000, 0.5000, 0.5000) [1 per cell]
Hg (0.5000, 0.5000, 0.0000) [1 per cell]
P (0.0000, 0.5000, 0.5000) [2 per cell]

---

A relaxed structure of NaLiHg2Pb. Source: the Alexandria database, functional PBE-GGA.

Results
Energy relative to the elements ... -0.259 eV per formula unit
Size of the total moment ... 0.00 μB per cell
E_tot ... -1.5608 eV per atom

Lattice parameters (Å, degrees): 5.1139 5.1139 5.1234 90.00 90.00 90.00
Space group P4/mmm (No. 123)
One atom of each set of equivalent atoms:
Na (0.0000, 0.0000, 0.0000) [1 per cell]
Li (0.5000, 0.5000, 0.5000) [1 per cell]
Hg (0.0000, 0.5000, 0.5000) [2 per cell]
Pb (0.5000, 0.5000, 0.0000) [1 per cell]

---

A relaxed structure of NaLiHg2Pb. Source: the Alexandria database, functional PBE-GGA.

Results
Energy relative to the elements ... -0.417 eV per formula unit
Size of the total moment ... 0.00 μB per cell
E_tot ... -1.5924 eV per atom

Lattice parameters (Å, degrees): 5.9022 15.2086 5.9002 90.00 90.00 90.00
Space group Cmcm (No. 63)
One atom of each set of equivalent atoms:
Na (0.0000, 0.1538, 0.2500) [4 per cell]
Li (0.0000, 0.3586, 0.2500) [4 per cell]
Hg (0.2484, 0.5000, 0.0000) [8 per cell]
Pb (0.0000, 0.2490, 0.7500) [4 per cell]

---

A relaxed structure of NaLi2Hg5Pb2. Source: the Alexandria database, functional PBE-GGA.

Results
Energy relative to the elements ... -1.642 eV per formula unit
Size of the total moment ... 0.00 μB per cell
E_tot ... -1.5714 eV per atom

Lattice parameters (Å, degrees): 10.3719 10.3719 4.4374 90.00 90.00 90.00
Space group P4/mbm (No. 127)
One atom of each set of equivalent atoms:
Na (0.0000, 0.0000, 0.0000) [2 per cell]
Li (0.1192, 0.3808, 0.0000) [4 per cell]
Hg (0.0000, 0.5000, 0.5000) [2 per cell]
Hg (0.0730, 0.2031, 0.5000) [8 per cell]
Pb (0.1758, 0.6758, 0.0000) [4 per cell]

---

A relaxed structure of NaLiHgPb2. Source: the Alexandria database, functional PBE-GGA.

Results
Energy relative to the elements ... -0.100 eV per formula unit
Size of the total moment ... 0.00 μB per cell
E_tot ... -2.2104 eV per atom

Lattice parameters (Å, degrees): 5.1983 5.1983 5.1706 90.00 90.00 90.00
Space group P4/mmm (No. 123)
One atom of each set of equivalent atoms:
Na (0.0000, 0.0000, 0.0000) [1 per cell]
Li (0.5000, 0.5000, 0.5000) [1 per cell]
Hg (0.5000, 0.5000, 0.0000) [1 per cell]
Pb (0.0000, 0.5000, 0.5000) [2 per cell]